[1]
MgBeHg2 after structural relaxation, computed with PBE-GGA.

```
data_MgBeHg2
_cell_length_a 4.450
_cell_length_b 4.448
_cell_length_c 3.740
_cell_angle_alpha 90.00
_cell_angle_beta 90.00
_cell_angle_gamma 90.00
_symmetry_space_group_name_H-M 'P 1'
_symmetry_Int_Tables_number 1
loop_
_symmetry_equiv_pos_as_xyz
'x,y,z'
loop_
_atom_site_label
_atom_site_fract_x
_atom_site_fract_y
_atom_site_fract_z
Hg1 0.000 0.000 0.000
Hg2 0.500 0.500 0.000
Mg1 0.500 0.000 0.500
Be1 0.000 0.500 0.500
```

Computed properties:
- relative energy among the computed polymorphs (meV/atom) = 75.5
- energy relative to the elements (eV/atom) = 0.2336


[2]
CoSi2Se after structural relaxation, computed with PBE-GGA.

```
data_CoSi2Se
_cell_length_a 5.443
_cell_length_b 5.443
_cell_length_c 6.539
_cell_angle_alpha 65.41
_cell_angle_beta 65.41
_cell_angle_gamma 90.00
_symmetry_space_group_name_H-M 'P 1'
_symmetry_Int_Tables_number 1
loop_
_symmetry_equiv_pos_as_xyz
'x,y,z'
loop_
_atom_site_label
_atom_site_fract_x
_atom_site_fract_y
_atom_site_fract_z
Si1 0.375 0.431 0.750
Si2 0.181 0.625 0.250
Si3 0.875 0.819 0.750
Si4 0.569 0.125 0.250
Se1 0.000 0.000 0.000
Se2 0.750 0.250 0.500
Co1 0.250 0.750 0.500
Co2 0.500 0.500 0.000
```

Computed properties:
- raw total energy (eV per atom) = -5.23


[3]
Ce2Pu3Ge4 after structural relaxation, computed with PBE-GGA.

```
data_Ce2Pu3Ge4
_cell_length_a 7.728
_cell_length_b 7.860
_cell_length_c 7.813
_cell_angle_alpha 90.00
_cell_angle_beta 90.00
_cell_angle_gamma 113.28
_symmetry_space_group_name_H-M 'P 1'
_symmetry_Int_Tables_number 1
loop_
_symmetry_equiv_pos_as_xyz
'x,y,z'
loop_
_atom_site_label
_atom_site_fract_x
_atom_site_fract_y
_atom_site_fract_z
Pu1 0.203 0.236 0.672
Pu2 0.297 0.764 0.172
Pu3 0.000 0.500 0.500
Pu4 0.500 0.500 0.000
Pu5 0.797 0.764 0.328
Pu6 0.703 0.236 0.828
Ge1 0.381 0.494 0.380
Ge2 0.315 0.079 0.968
Ge3 0.119 0.506 0.880
Ge4 0.619 0.506 0.620
Ge5 0.185 0.921 0.468
Ge6 0.881 0.494 0.120
Ge7 0.815 0.079 0.532
Ge8 0.685 0.921 0.032
Ce1 0.943 0.811 0.808
Ce2 0.443 0.811 0.692
Ce3 0.057 0.189 0.192
Ce4 0.557 0.189 0.308
```

Computed properties:
- energy relative to the elements (eV/atom) = -0.5288


[4]
Pm3DyTl3 after structural relaxation, computed with PBE-GGA.

```
data_Pm3DyTl3
_cell_length_a 5.312
_cell_length_b 9.598
_cell_length_c 9.598
_cell_angle_alpha 120.00
_cell_angle_beta 90.00
_cell_angle_gamma 90.00
_symmetry_space_group_name_H-M 'P 1'
_symmetry_Int_Tables_number 1
loop_
_symmetry_equiv_pos_as_xyz
'x,y,z'
loop_
_atom_site_label
_atom_site_fract_x
_atom_site_fract_y
_atom_site_fract_z
Pm1 0.250 0.240 0.238
Pm2 0.750 0.002 0.240
Pm3 0.250 0.998 0.760
Pm4 0.750 0.238 0.998
Pm5 0.250 0.762 0.002
Pm6 0.750 0.760 0.762
Tl1 0.250 0.547 0.619
Tl2 0.750 0.928 0.547
Tl3 0.250 0.381 0.928
Tl4 0.250 0.072 0.453
Tl5 0.750 0.453 0.381
Tl6 0.750 0.619 0.072
Dy1 0.750 0.333 0.667
Dy2 0.250 0.667 0.333
```

Computed properties:
- relative energy among the computed polymorphs (meV/atom) = 62.6
- energy relative to the elements (eV/atom) = -0.2115


[5]
HfPdI2O after structural relaxation, computed with PBE-GGA.

```
data_HfPdI2O
_cell_length_a 5.748
_cell_length_b 5.748
_cell_length_c 3.932
_cell_angle_alpha 90.00
_cell_angle_beta 90.00
_cell_angle_gamma 90.00
_symmetry_space_group_name_H-M 'P 1'
_symmetry_Int_Tables_number 1
loop_
_symmetry_equiv_pos_as_xyz
'x,y,z'
loop_
_atom_site_label
_atom_site_fract_x
_atom_site_fract_y
_atom_site_fract_z
I1 0.000 0.500 0.000
I2 0.500 0.000 0.000
Hf1 0.000 0.000 0.000
Pd1 0.500 0.500 0.500
O1 0.000 0.000 0.500
```

Computed properties:
- relative energy among the computed polymorphs (meV/atom) = 0.0


[6]
Ca3Y2PuSe6 after structural relaxation, computed with PBE-GGA.

```
data_Ca3Y2PuSe6
_cell_length_a 7.171
_cell_length_b 7.171
_cell_length_c 7.251
_cell_angle_alpha 99.49
_cell_angle_beta 99.49
_cell_angle_gamma 120.03
_symmetry_space_group_name_H-M 'P 1'
_symmetry_Int_Tables_number 1
loop_
_symmetry_equiv_pos_as_xyz
'x,y,z'
loop_
_atom_site_label
_atom_site_fract_x
_atom_site_fract_y
_atom_site_fract_z
Pu1 0.000 0.000 0.000
Ca1 0.834 0.166 0.500
Ca2 0.500 0.500 0.500
Ca3 0.166 0.834 0.500
Se1 0.580 0.917 0.752
Se2 0.083 0.420 0.248
Se3 0.745 0.745 0.247
Se4 0.420 0.083 0.248
Se5 0.255 0.255 0.753
Se6 0.917 0.580 0.752
Y1 0.667 0.333 0.000
Y2 0.333 0.667 0.000
```

Computed properties:
- raw total energy (eV per atom) = -6.35


[7]
HgOsPdAu2 after structural relaxation, computed with PBE-GGA.

```
data_HgOsPdAu2
_cell_length_a 5.067
_cell_length_b 5.011
_cell_length_c 5.067
_cell_angle_alpha 90.00
_cell_angle_beta 90.00
_cell_angle_gamma 90.00
_symmetry_space_group_name_H-M 'P 1'
_symmetry_Int_Tables_number 1
loop_
_symmetry_equiv_pos_as_xyz
'x,y,z'
loop_
_atom_site_label
_atom_site_fract_x
_atom_site_fract_y
_atom_site_fract_z
Os1 0.500 0.500 0.500
Hg1 0.000 0.000 0.000
Au1 0.500 0.000 0.000
Au2 0.000 0.000 0.500
Pd1 0.000 0.500 0.000
```

Computed properties:
- relative energy among the computed polymorphs (meV/atom) = 220.6
- energy relative to the elements (eV/atom) = 1.8736


[8]
La8HgRh2 after structural relaxation, computed with PBE-GGA.

```
data_La8HgRh2
_cell_length_a 5.863
_cell_length_b 8.326
_cell_length_c 8.326
_cell_angle_alpha 116.75
_cell_angle_beta 98.61
_cell_angle_gamma 98.61
_symmetry_space_group_name_H-M 'P 1'
_symmetry_Int_Tables_number 1
loop_
_symmetry_equiv_pos_as_xyz
'x,y,z'
loop_
_atom_site_label
_atom_site_fract_x
_atom_site_fract_y
_atom_site_fract_z
La1 0.310 0.604 0.604
La2 0.063 0.338 0.092
La3 0.937 0.908 0.662
La4 0.500 0.760 0.240
La5 0.063 0.092 0.338
La6 0.690 0.396 0.396
La7 0.500 0.240 0.760
La8 0.937 0.662 0.908
Rh1 0.000 0.281 0.719
Rh2 0.000 0.719 0.281
Hg1 0.500 0.000 0.000
```

Computed properties:
- energy relative to the elements (eV/atom) = -0.3302